The following is a DFT calculation (PBE-GGA) of a geometry-optimized Tl2SiSb2 structure.

Output
E (eV per atom): -3.445
Spin magnetization (μB per atom): 0.0000

Unit cell a=7.2951 b=7.2951 c=5.7141 alpha=90.00 beta=90.00 gamma=90.00
Positions (direct):
Tl (0.8197, 0.3197, 0.5000)
Tl (0.3197, 0.1803, 0.5000)
Tl (0.1803, 0.6803, 0.5000)
Tl (0.6803, 0.8197, 0.5000)
Sb (0.1416, 0.3584, 0.0000)
Sb (0.3584, 0.8584, 0.0000)
Sb (0.8584, 0.6416, 0.0000)
Sb (0.6416, 0.1416, 0.0000)
Si (0.0000, 0.0000, 0.0000)
Si (0.5000, 0.5000, 0.0000)